Material: ScAlW2
Method: DFT, meta-GGA SCAN
State: PBEsol geometry

Calculated values
Magnetization, μB/atom: 0.00
Final energy, eV per atom: -40.123
N(E_F), states/eV per cell: 2.47
Energy of formation, meV/atom: 217.8
Space-group type: Pmmm (47)

CIF file:
```
data_ScAlW2
_chemical_formula_sum 'Sc1 Al1 W2'
_cell_length_a 2.724
_cell_length_b 4.432
_cell_length_c 5.487
_cell_angle_alpha 90.00
_cell_angle_beta 90.00
_cell_angle_gamma 90.00
_space_group_name_H-M_alt 'P 1'
_space_group_IT_number 1
loop_
_space_group_symop_operation_xyz
'x,y,z'
loop_
_atom_site_label
_atom_site_type_symbol
_atom_site_fract_x
_atom_site_fract_y
_atom_site_fract_z
Al1 Al 0.500 0.500 0.000
Sc1 Sc 0.500 0.500 0.500
W1 W 0.000 0.000 0.244
W2 W 0.000 0.000 0.756
```